Below is Sc6BiPb after structural relaxation, with properties calculated at the PBE level.

Cell: 8.142 8.142 5.757 Å, 45.02 45.02 60.03°
Fractional positions:
Sc  0.500  0.752  0.748
Sc  0.000  0.500  0.252
Sc  0.500  0.248  0.252
Sc  0.000  0.500  0.748
Sc  0.752  0.000  0.748
Sc  0.248  0.000  0.252
Bi  0.500  0.500  0.500
Pb  0.000  0.000  0.000

Values from the calculation:
* uncorrected energy: -5.9854 eV/atom
* formation energy from the elements: -0.29 eV/atom

=====

Below is Sc2Bi2Pb after structural relaxation, with properties calculated at the PBE level.

Cell: 8.075 8.075 4.114 Å, 90.00 90.00 90.00°
Fractional positions:
Sc  0.648  0.148  0.000
Sc  0.852  0.648  0.000
Sc  0.148  0.352  0.000
Sc  0.352  0.852  0.000
Pb  0.000  0.000  0.000
Pb  0.500  0.500  0.000
Bi  0.159  0.659  0.500
Bi  0.659  0.841  0.500
Bi  0.841  0.341  0.500
Bi  0.341  0.159  0.500

Values from the calculation:
* uncorrected energy: -5.2114 eV/atom
* offset from the most stable computed form: 0 meV/atom
* formation energy from the elements: -0.38 eV/atom

=====

Below is Sc10Bi3Pb3 after structural relaxation, with properties calculated at the PBE level.

Cell: 6.089 8.616 8.616 Å, 120.00 90.00 90.00°
Fractional positions:
Pb  0.500  0.000  0.390
Pb  0.500  0.390  0.000
Pb  0.500  0.610  0.610
Sc  0.500  0.763  0.000
Sc  0.748  0.667  0.333
Sc  0.000  0.237  0.000
Sc  0.000  0.763  0.763
Sc  0.500  0.237  0.237
Sc  0.252  0.667  0.333
Sc  0.500  0.000  0.763
Sc  0.000  0.000  0.237
Sc  0.252  0.333  0.667
Sc  0.748  0.333  0.667
Bi  0.000  0.609  0.000
Bi  0.000  0.000  0.609
Bi  0.000  0.391  0.391

Values from the calculation:
* uncorrected energy: -5.9126 eV/atom
* formation energy from the elements: -0.53 eV/atom

=====

Below is ScBiPb after structural relaxation, with properties calculated at the PBE level.

Cell: 3.301 5.448 5.448 Å, 120.00 90.00 90.00°
Fractional positions:
Bi  0.730  0.667  0.333
Pb  0.950  0.000  0.000
Sc  0.319  0.333  0.667

Values from the calculation:
* uncorrected energy: -4.6996 eV/atom
* formation energy from the elements: -0.06 eV/atom